DFT (GGA-PBE) results for an optimized crystal structure of Zn3Cu6Si.

Values from the calculation:
* ΔE_f (raw): -0.05 eV per atom
* space-group type: P2_1/m, No. 11

```
Zn3Cu6Si
1.0
6.909 0.000 0.000
0.000 4.292 0.000
-3.225 0.000 8.569
Zn Cu Si
6 12 2
Direct
0.098 0.250 0.225
0.302 0.250 0.027
0.317 0.750 0.367
0.683 0.250 0.633
0.698 0.750 0.973
0.902 0.750 0.775
0.091 0.250 0.721
0.101 0.750 0.071
0.283 0.250 0.531
0.296 0.750 0.864
0.496 0.750 0.667
0.498 0.250 0.835
0.502 0.750 0.165
0.504 0.250 0.333
0.704 0.250 0.136
0.717 0.750 0.469
0.899 0.250 0.929
0.909 0.750 0.279
0.116 0.750 0.578
0.884 0.250 0.422
```

=====

DFT (GGA-PBE) results for an optimized crystal structure of KCd2Ni.

Values from the calculation:
* space-group type: C2/m, No. 12
* calculated formation energy: 47.9 kJ per mole of atoms

```
KCd2Ni
1.0
3.098 -5.233 0.000
3.098 5.233 0.000
-0.965 0.000 2.841
K Cd Ni
1 2 1
Direct
0.000 0.000 0.000
0.000 0.500 0.500
0.500 0.000 0.500
0.500 0.500 0.000
```

=====

DFT (GGA-PBE) results for an optimized crystal structure of CaDyTmSc.

Values from the calculation:
* space-group type: F-43m, No. 216
* calculated formation energy: 18.2 kJ per mole of atoms

```
CaDyTmSc
1.0
0.000 3.948 3.948
3.948 0.000 3.948
3.948 3.948 0.000
Ca Dy Tm Sc
1 1 1 1
Direct
0.000 0.000 0.000
0.750 0.750 0.750
0.250 0.250 0.250
0.500 0.500 0.500
```

=====

DFT (GGA-PBE) results for an optimized crystal structure of Rb3HfPd.

Values from the calculation:
* space-group type: Pm-3m, No. 221
* calculated formation energy: 106.6 kJ per mole of atoms

```
Rb3HfPd
1.0
6.396 0.000 0.000
0.000 6.396 0.000
0.000 0.000 6.396
Rb Hf Pd
3 1 1
Direct
0.000 0.000 0.500
0.000 0.500 0.000
0.500 0.000 0.000
0.500 0.500 0.500
0.000 0.000 0.000
```

=====

DFT (GGA-PBE) results for an optimized crystal structure of BAuBr2.

Values from the calculation:
* ΔE_f (raw): 1.14 eV per atom
* space-group type: Fm-3m, No. 225

```
BAuBr2
1.0
0.000 3.487 3.487
3.487 0.000 3.487
3.487 3.487 0.000
B Au Br
1 1 2
Direct
0.000 0.000 0.000
0.500 0.500 0.500
0.250 0.250 0.250
0.750 0.750 0.750
```

=====

DFT (GGA-PBE) results for an optimized crystal structure of Na2PaTlSe4.

Values from the calculation:
* ΔE_f (raw): -1.12 eV per atom
* space-group type: P2/m, No. 10

```
Na2PaTlSe4
1.0
7.212 0.000 0.000
0.000 4.291 0.000
-2.735 0.000 7.417
Na Pa Tl Se
2 1 1 4
Direct
0.000 0.000 0.000
0.000 0.500 0.500
0.500 0.000 0.500
0.500 0.500 0.000
0.269 0.000 0.705
0.271 0.500 0.283
0.729 0.500 0.717
0.731 0.000 0.295
```

=====

DFT (GGA-PBE) results for an optimized crystal structure of Y3TmCd6.

Values from the calculation:
* space-group type: P2_1/m, No. 11
* calculated formation energy: -29.3 kJ per mole of atoms

```
Y3TmCd6
1.0
9.140 0.000 0.000
0.000 5.158 0.000
-3.000 0.000 10.621
Y Tm Cd
6 2 12
Direct
0.031 0.250 0.393
0.151 0.750 0.211
0.261 0.250 0.001
0.739 0.750 0.999
0.849 0.250 0.789
0.969 0.750 0.607
0.446 0.250 0.603
0.554 0.750 0.397
0.048 0.750 0.907
0.163 0.250 0.705
0.262 0.750 0.508
0.354 0.750 0.810
0.356 0.250 0.306
0.449 0.750 0.107
0.551 0.250 0.893
0.644 0.750 0.694
0.646 0.250 0.190
0.738 0.250 0.492
0.837 0.750 0.295
0.952 0.250 0.093
```

=====

DFT (GGA-PBE) results for an optimized crystal structure of AlCr2Cu.

Values from the calculation:
* space-group type: R-3m, No. 166
* calculated formation energy: 26.3 kJ per mole of atoms

```
AlCr2Cu
1.0
1.298 0.749 8.646
-1.298 0.749 8.646
0.000 -1.499 8.646
Al Cr Cu
1 2 1
Direct
0.000 0.000 0.000
0.250 0.250 0.250
0.750 0.750 0.750
0.500 0.500 0.500
```

=====

DFT (GGA-PBE) results for an optimized crystal structure of InTcOs2.

Values from the calculation:
* space-group type: I4/mmm, No. 139
* calculated formation energy: 47.9 kJ per mole of atoms

```
InTcOs2
1.0
-1.962 1.962 4.080
1.962 -1.962 4.080
1.962 1.962 -4.080
In Tc Os
1 1 2
Direct
0.000 0.000 0.000
0.500 0.500 0.000
0.250 0.750 0.500
0.750 0.250 0.500
```

=====

DFT (GGA-PBE) results for an optimized crystal structure of CuSiNi2I.

Values from the calculation:
* ΔE_f (raw): 1.28 eV per atom
* space-group type: P4/mmm, No. 123

```
CuSiNi2I
1.0
4.646 0.000 0.000
0.000 4.646 0.000
0.000 0.000 4.879
Cu Si Ni I
1 1 2 1
Direct
0.000 0.000 0.000
0.500 0.500 0.000
0.000 0.500 0.500
0.500 0.000 0.500
0.000 0.000 0.500
```

=====

DFT (GGA-PBE) results for an optimized crystal structure of CuNiBr.

Values from the calculation:
* ΔE_f (raw): 0.50 eV per atom
* space-group type: Fmm2, No. 42

```
CuNiBr
1.0
0.000 2.755 5.410
1.712 0.000 5.410
1.712 2.755 0.000
Cu Ni Br
1 1 1
Direct
0.000 0.000 0.000
0.654 0.654 0.346
0.313 0.313 0.687
```

=====

DFT (GGA-PBE) results for an optimized crystal structure of Mn2BeNi2.

Values from the calculation:
* space-group type: P4/mbm, No. 127
* calculated formation energy: 28.4 kJ per mole of atoms

```
Mn2BeNi2
1.0
6.807 0.000 0.000
0.000 6.807 0.000
0.000 0.000 2.689
Mn Be Ni
4 2 4
Direct
0.152 0.348 0.000
0.348 0.848 0.000
0.652 0.152 0.000
0.848 0.652 0.000
0.000 0.000 0.000
0.500 0.500 0.000
0.146 0.646 0.500
0.354 0.146 0.500
0.646 0.854 0.500
0.854 0.354 0.500
```